A plane-wave DFT calculation with PBE was carried out for a relaxed La4Sm3Hg crystal.

Computed properties:
Total magnetic moment = 0.000 μB/f.u.
ΔE_f = -103 meV/atom

a = 3.7637 Å, b = 3.7637 Å, c = 19.3424 Å
α = 90.00°, β = 90.00°, γ = 90.00°
Space group P4/mmm (No. 123)
Symmetry-distinct sites (fractional):
La1 0.0000 0.0000 0.1066
La2 0.0000 0.0000 0.3694
Sm1 0.5000 0.5000 0.2397
Sm2 0.5000 0.5000 0.5000
Hg1 0.5000 0.5000 0.0000

A plane-wave DFT calculation with PBE was carried out for a relaxed La2SmHg5 crystal.

Computed properties:
Total magnetic moment = 0.012 μB/f.u.
ΔE_f = -448 meV/atom

a = 5.3255 Å, b = 5.3255 Å, c = 15.3652 Å
α = 90.00°, β = 90.00°, γ = 90.00°
Space group I4/mmm (No. 139)
Symmetry-distinct sites (fractional):
La1 0.0000 0.0000 0.2325
Sm1 0.0000 0.0000 0.5000
Hg1 0.0000 0.0000 0.0000
Hg2 0.0000 0.5000 0.1169

A plane-wave DFT calculation with PBE was carried out for a relaxed LaSm2Hg5 crystal.

Computed properties:
Total magnetic moment = 0.000 μB/f.u.
ΔE_f = -460 meV/atom

a = 5.3427 Å, b = 5.3427 Å, c = 15.0210 Å
α = 90.00°, β = 90.00°, γ = 90.00°
Space group I4/mmm (No. 139)
Symmetry-distinct sites (fractional):
La1 0.0000 0.0000 0.0000
Sm1 0.0000 0.0000 0.2698
Hg1 0.0000 0.0000 0.5000
Hg2 0.0000 0.5000 0.1265

A plane-wave DFT calculation with PBE was carried out for a relaxed LaSm2Hg8 crystal.

Computed properties:
Total magnetic moment = 0.000 μB/f.u.
ΔE_f = -353 meV/atom

a = 5.2480 Å, b = 7.2934 Å, c = 15.2498 Å
α = 90.00°, β = 90.00°, γ = 90.00°
Space group Immm (No. 71)
Symmetry-distinct sites (fractional):
La1 0.0000 0.0000 0.0000
Sm1 0.0000 0.0000 0.3134
Hg1 0.0000 0.2089 0.5000
Hg2 0.0000 0.2836 0.1545
Hg3 0.0000 0.5000 0.3421

A plane-wave DFT calculation with PBE was carried out for a relaxed LaSmHg crystal.

Computed properties:
Excess energy over the best structure of this formula in the dataset = 0.110 eV per atom
Total magnetic moment = 0.000 μB/f.u.
ΔE_f = -202 meV/atom

a = 5.2426 Å, b = 5.2426 Å, c = 3.8558 Å
α = 90.00°, β = 90.00°, γ = 120.00°
Space group P3m1 (No. 156)
Symmetry-distinct sites (fractional):
La1 0.0000 0.0000 0.0000
Sm1 0.3333 0.6667 0.4178
Hg1 0.6667 0.3333 0.6209

A plane-wave DFT calculation with PBE was carried out for a relaxed LaSm2Hg crystal.

Computed properties:
Excess energy over the best structure of this formula in the dataset = 0.181 eV per atom
Total magnetic moment = 1.881 μB/f.u.
ΔE_f = -51 meV/atom

a = 7.7715 Å, b = 7.7715 Å, c = 7.7715 Å
α = 90.00°, β = 90.00°, γ = 90.00°
Space group Fm-3m (No. 225)
Symmetry-distinct sites (fractional):
La1 0.0000 0.0000 0.0000
Sm1 0.2500 0.2500 0.2500
Hg1 0.0000 0.0000 0.5000

A plane-wave DFT calculation with PBE was carried out for a relaxed La3Sm2Hg4 crystal.

Computed properties:
Total magnetic moment = 0.151 μB/f.u.
ΔE_f = -408 meV/atom

a = 9.3627 Å, b = 5.4089 Å, c = 10.4652 Å
α = 90.00°, β = 90.04°, γ = 90.00°
Space group C2/m (No. 12)
Symmetry-distinct sites (fractional):
La1 0.0000 0.0000 0.0000
La2 0.1666 0.5000 0.4203
Sm1 0.1666 0.5000 0.7901
Hg1 0.0000 0.0000 0.3402
Hg2 0.1667 0.5000 0.1055

A plane-wave DFT calculation with PBE was carried out for a relaxed LaSmHg4 crystal.

Computed properties:
Excess energy over the best structure of this formula in the dataset = 0.150 eV per atom
Total magnetic moment = 0.000 μB/f.u.
ΔE_f = -300 meV/atom

a = 8.5561 Å, b = 8.5561 Å, c = 8.5561 Å
α = 90.00°, β = 90.00°, γ = 90.00°
Space group F-43m (No. 216)
Symmetry-distinct sites (fractional):
La1 0.0000 0.0000 0.0000
Sm1 0.2500 0.2500 0.7500
Hg1 0.1248 0.1248 0.3752

A plane-wave DFT calculation with PBE was carried out for a relaxed La3Sm3Hg2 crystal.

Computed properties:
Total magnetic moment = 0.000 μB/f.u.
ΔE_f = -185 meV/atom

a = 5.2997 Å, b = 12.1449 Å, c = 16.2309 Å
α = 90.00°, β = 90.00°, γ = 90.00°
Space group Cmcm (No. 63)
Symmetry-distinct sites (fractional):
La1 0.0000 0.0396 0.1111
La2 0.0000 0.2952 0.2500
Sm1 0.0000 0.3605 0.0326
Sm2 0.0000 0.4276 0.7500
Hg1 0.0000 0.2297 0.6261

A plane-wave DFT calculation with PBE was carried out for a relaxed La8SmHg2 crystal.

Computed properties:
Excess energy over the best structure of this formula in the dataset = 0.000 eV per atom
Total magnetic moment = 0.000 μB/f.u.
ΔE_f = -148 meV/atom

a = 17.3022 Å, b = 5.5091 Å, c = 8.6187 Å
α = 90.00°, β = 114.51°, γ = 90.00°
Space group C2/m (No. 12)
Symmetry-distinct sites (fractional):
La1 0.0488 0.0000 0.2423
La2 0.1050 0.5000 0.9683
La3 0.1506 0.0000 0.7075
La4 0.1896 0.5000 0.4594
Sm1 0.0000 0.5000 0.5000
Hg1 0.2152 0.0000 0.1322

A plane-wave DFT calculation with PBE was carried out for a relaxed LaSm3Hg crystal.

Computed properties:
Excess energy over the best structure of this formula in the dataset = 0.000 eV per atom
Total magnetic moment = 0.000 μB/f.u.
ΔE_f = -167 meV/atom

a = 30.1883 Å, b = 3.7178 Å, c = 5.6830 Å
α = 90.00°, β = 90.26°, γ = 90.00°
Space group C2/m (No. 12)
Symmetry-distinct sites (fractional):
La1 0.2338 0.0000 0.2489
Sm1 0.0477 0.5000 0.7352
Sm2 0.1260 0.5000 0.2454
Sm3 0.1576 0.0000 0.7485
Hg1 0.0405 0.0000 0.2266

A plane-wave DFT calculation with PBE was carried out for a relaxed La2Sm3Hg3 crystal.

Computed properties:
Total magnetic moment = 0.004 μB/f.u.
ΔE_f = -341 meV/atom

a = 3.8651 Å, b = 5.4331 Å, c = 22.7790 Å
α = 90.00°, β = 90.00°, γ = 90.00°
Space group Immm (No. 71)
Symmetry-distinct sites (fractional):
La1 0.0000 0.0000 0.2310
Sm1 0.0000 0.0000 0.0000
Sm2 0.0000 0.5000 0.1179
Hg1 0.0000 0.0000 0.5000
Hg2 0.0000 0.5000 0.3860

A plane-wave DFT calculation with PBE was carried out for a relaxed La3Sm4Hg crystal.

Computed properties:
Total magnetic moment = 0.000 μB/f.u.
ΔE_f = -109 meV/atom

a = 3.7101 Å, b = 3.7101 Å, c = 19.3249 Å
α = 90.00°, β = 90.00°, γ = 90.00°
Space group P4/mmm (No. 123)
Symmetry-distinct sites (fractional):
La1 0.0000 0.0000 0.0000
La2 0.0000 0.0000 0.2664
Sm1 0.5000 0.5000 0.1330
Sm2 0.5000 0.5000 0.3978
Hg1 0.0000 0.0000 0.5000

A plane-wave DFT calculation with PBE was carried out for a relaxed La6Sm2Hg crystal.

Computed properties:
Total magnetic moment = 0.000 μB/f.u.
ΔE_f = -99 meV/atom

a = 9.8306 Å, b = 9.8306 Å, c = 3.7625 Å
α = 90.00°, β = 90.00°, γ = 120.00°
Space group P-62m (No. 189)
Symmetry-distinct sites (fractional):
La1 0.0000 0.3742 0.0000
La2 0.0000 0.7244 0.5000
Sm1 0.3333 0.6667 0.5000
Hg1 0.0000 0.0000 0.0000

A plane-wave DFT calculation with PBE was carried out for a relaxed LaSm4Hg5 crystal.

Computed properties:
Total magnetic moment = 1.944 μB/f.u.
ΔE_f = -477 meV/atom

a = 3.8210 Å, b = 3.8210 Å, c = 19.0550 Å
α = 90.00°, β = 90.00°, γ = 90.00°
Space group P4/mmm (No. 123)
Symmetry-distinct sites (fractional):
La1 0.0000 0.0000 0.0000
Sm1 0.0000 0.0000 0.2046
Sm2 0.0000 0.0000 0.4017
Hg1 0.5000 0.5000 0.1081
Hg2 0.5000 0.5000 0.3025
Hg3 0.5000 0.5000 0.5000

A plane-wave DFT calculation with PBE was carried out for a relaxed LaSmHg4 crystal.

Computed properties:
Excess energy over the best structure of this formula in the dataset = 0.236 eV per atom
Total magnetic moment = 0.001 μB/f.u.
ΔE_f = -214 meV/atom

a = 4.6127 Å, b = 8.8064 Å, c = 4.6215 Å
α = 90.00°, β = 90.00°, γ = 90.00°
Space group Pmm2 (No. 25)
Symmetry-distinct sites (fractional):
La1 0.0000 0.0000 0.0000
Sm1 0.5000 0.5000 0.4984
Hg1 0.0000 0.2588 0.4997
Hg2 0.5000 0.2590 0.9987

A plane-wave DFT calculation with PBE was carried out for a relaxed LaSmHg crystal.

Computed properties:
Excess energy over the best structure of this formula in the dataset = 0.000 eV per atom
Total magnetic moment = 0.525 μB/f.u.
ΔE_f = -312 meV/atom

a = 3.8099 Å, b = 3.8099 Å, c = 12.8698 Å
α = 90.00°, β = 90.00°, γ = 90.00°
Space group I4mm (No. 107)
Symmetry-distinct sites (fractional):
La1 0.0000 0.0000 0.0000
Sm1 0.0000 0.0000 0.6956
Hg1 0.0000 0.0000 0.3358

A plane-wave DFT calculation with PBE was carried out for a relaxed LaSmHg2 crystal.

Computed properties:
Total magnetic moment = 0.734 μB/f.u.
ΔE_f = -485 meV/atom

a = 3.8338 Å, b = 3.8338 Å, c = 7.7805 Å
α = 90.00°, β = 90.00°, γ = 90.00°
Space group P4/mmm (No. 123)
Symmetry-distinct sites (fractional):
La1 0.0000 0.0000 0.0000
Sm1 0.0000 0.0000 0.5000
Hg1 0.5000 0.5000 0.2657

A plane-wave DFT calculation with PBE was carried out for a relaxed LaSm2Hg crystal.

Computed properties:
Excess energy over the best structure of this formula in the dataset = 0.000 eV per atom
Total magnetic moment = 0.000 μB/f.u.
ΔE_f = -232 meV/atom

a = 3.7557 Å, b = 3.7557 Å, c = 8.8154 Å
α = 90.00°, β = 90.00°, γ = 90.00°
Space group P4/mmm (No. 123)
Symmetry-distinct sites (fractional):
La1 0.0000 0.0000 0.0000
Sm1 0.5000 0.5000 0.2830
Hg1 0.0000 0.0000 0.5000

A plane-wave DFT calculation with PBE was carried out for a relaxed La6SmHg crystal.

Computed properties:
Excess energy over the best structure of this formula in the dataset = 0.000 eV per atom
Total magnetic moment = 0.000 μB/f.u.
ΔE_f = -87 meV/atom

a = 5.1049 Å, b = 5.1049 Å, c = 10.3672 Å
α = 90.00°, β = 90.00°, γ = 90.00°
Space group P4/mmm (No. 123)
Symmetry-distinct sites (fractional):
La1 0.0000 0.0000 0.0000
La2 0.0000 0.0000 0.5000
La3 0.0000 0.5000 0.2450
Sm1 0.5000 0.5000 0.5000
Hg1 0.5000 0.5000 0.0000

A plane-wave DFT calculation with PBE was carried out for a relaxed La2Sm3Hg4 crystal.

Computed properties:
Excess energy over the best structure of this formula in the dataset = 0.000 eV per atom
Total magnetic moment = 0.429 μB/f.u.
ΔE_f = -385 meV/atom

a = 5.3681 Å, b = 5.3681 Å, c = 10.5772 Å
α = 90.00°, β = 90.00°, γ = 120.00°
Space group P-3m1 (No. 164)
Symmetry-distinct sites (fractional):
La1 0.3333 0.6667 0.2872
Sm1 0.0000 0.0000 0.5000
Sm2 0.3333 0.6667 0.9158
Hg1 0.0000 0.0000 0.1479
Hg2 0.3333 0.6667 0.6021

A plane-wave DFT calculation with PBE was carried out for a relaxed LaSm6Hg2 crystal.

Computed properties:
Excess energy over the best structure of this formula in the dataset = 0.068 eV per atom
Total magnetic moment = 0.000 μB/f.u.
ΔE_f = -138 meV/atom

a = 15.7730 Å, b = 11.5088 Å, c = 6.1728 Å
α = 90.00°, β = 95.79°, γ = 90.00°
Space group C2/c (No. 15)
Symmetry-distinct sites (fractional):
La1 0.0000 0.1061 0.2500
Sm1 0.0597 0.3839 0.5053
Sm2 0.1189 0.1527 0.8077
Sm3 0.2286 0.1231 0.3319
Hg1 0.1662 0.3716 0.0978

A plane-wave DFT calculation with PBE was carried out for a relaxed LaSm2Hg2 crystal.

Computed properties:
Excess energy over the best structure of this formula in the dataset = 0.000 eV per atom
Total magnetic moment = 0.246 μB/f.u.
ΔE_f = -383 meV/atom

a = 3.8345 Å, b = 5.5200 Å, c = 14.1254 Å
α = 90.00°, β = 97.84°, γ = 90.00°
Space group P2_1/m (No. 11)
Symmetry-distinct sites (fractional):
La1 0.1463 0.2500 0.2901
Sm1 0.0485 0.7500 0.0964
Sm2 0.2357 0.7500 0.4726
Hg1 0.3554 0.2500 0.7114
Hg2 0.4549 0.7500 0.9098

A plane-wave DFT calculation with PBE was carried out for a relaxed LaSm2Hg crystal.

Computed properties:
Excess energy over the best structure of this formula in the dataset = 0.049 eV per atom
Total magnetic moment = 0.000 μB/f.u.
ΔE_f = -183 meV/atom

a = 9.5978 Å, b = 8.1547 Å, c = 6.6892 Å
α = 90.00°, β = 90.00°, γ = 90.00°
Space group Pnma (No. 62)
Symmetry-distinct sites (fractional):
La1 0.0267 0.2500 0.0991
Sm1 0.1819 0.0359 0.6133
Hg1 0.0964 0.7500 0.3542

| no. | electronic total energy (eV/atom) |
| --- | --- |
| 1 | -4.37 |
| 2 | -2.46 |
| 3 | -2.44 |
| 4 | -1.88 |
| 5 | -3.52 |
| 6 | -3.72 |
| 7 | -3.23 |
| 8 | -2.11 |
| 9 | -3.88 |
| 10 | -4.22 |
| 11 | -4.04 |
| 12 | -3.46 |
| 13 | -4.35 |
| 14 | -4.47 |
| 15 | -3.01 |
| 16 | -2.02 |
| 17 | -3.63 |
| 18 | -3.05 |
| 19 | -3.90 |
| 20 | -4.41 |
| 21 | -3.19 |
| 22 | -3.90 |
| 23 | -3.38 |
| 24 | -3.85 |